1.
Entry from OQMD: a relaxed structure of TaAl2Mo (PBE). Values from VASP.

Structure (Quantum ESPRESSO input):
```
&SYSTEM
  ibrav = 0, nat = 4, ntyp = 3
/
ATOMIC_SPECIES
Al 26.98 Al.upf
Mo 95.94 Mo.upf
Ta 180.95 Ta.upf
ATOMIC_POSITIONS angstrom
Al 1.5852 1.5852 1.5852
Al 0.0000 0.0000 0.0000
Mo 4.7556 4.7556 4.7556
Ta 3.1704 3.1704 3.1704
CELL_PARAMETERS angstrom
0.0000 3.1704 3.1704
3.1704 0.0000 3.1704
3.1704 3.1704 0.0000
```

Output
Its space group is No. 216.

=====

2.
Entry from OQMD: a relaxed structure of TaAlMo (PBE). Values from VASP.

Structure (Quantum ESPRESSO input):
```
&SYSTEM
  ibrav = 0, nat = 3, ntyp = 3
/
ATOMIC_SPECIES
Ta 180.95 Ta.upf
Mo 95.94 Mo.upf
Al 26.98 Al.upf
ATOMIC_POSITIONS angstrom
Ta 1.1721 -4.9014 -6.2424
Mo 0.0000 0.0000 0.0000
Al 0.3907 -1.6338 -2.0808
CELL_PARAMETERS angstrom
2.7194 -2.9147 -1.7835
-1.5987 -3.4170 -2.1999
0.4421 -0.2035 -4.3399
```

Output
Its space group is No. 216.

=====

3.
Entry from OQMD: a relaxed structure of Tb6Al43Mo4 (PBE). Values from VASP.

Structure (Quantum ESPRESSO input):
```
&SYSTEM
  ibrav = 0, nat = 106, ntyp = 3
/
ATOMIC_SPECIES
Al 26.98 Al.upf
Tb 158.93 Tb.upf
Mo 95.94 Mo.upf
ATOMIC_POSITIONS angstrom
Al 3.3331 -2.2337 -2.4668
Al 1.3337 -7.7600 -6.5023
Al -1.7005 -5.1974 -8.6239
Al -6.7097 -6.4001 -3.2707
Al -3.8306 -7.2277 -3.2518
Al -6.4840 -8.2132 -7.3919
Al -2.2010 -11.8305 -4.3971
Al -4.7061 -14.2840 -7.3297
Al -9.9979 -5.1108 -8.8811
Al -10.3007 -9.7877 -9.3538
Al -0.1643 -7.4557 -8.7706
Al -2.0970 -18.0463 -1.7921
Al -4.8936 -10.1498 -8.4539
Al -1.9813 -3.8772 -1.8495
Al -8.6275 -9.9432 -2.6537
Al 1.5668 -6.5567 -1.9856
Al 0.1592 0.4469 -4.6861
Al 3.1509 -4.7870 -3.5436
Al -3.4482 -9.1547 -0.9901
Al -3.3606 2.7212 -7.0049
Al 0.7425 -3.9268 -2.6120
Al 1.5252 -11.5639 -1.0509
Al -8.7254 -12.8572 -3.0511
Al -1.2850 -2.2143 -4.0298
Al 4.8107 -9.1759 -0.7115
Al -1.8756 -0.9412 -1.6821
Al -4.8286 -12.5177 -5.2292
Al 0.1740 -2.6723 -0.2489
Al -1.1321 -1.1697 -6.5384
Al 1.3796 -0.1776 -7.1856
Al -3.9723 -7.2211 -8.0391
Al -9.1421 -11.7113 -7.8158
Al -2.5134 -16.3647 -3.9087
Al -2.1606 -9.2706 -8.1077
Al -2.5964 -2.6033 -8.5055
Al 4.3095 -6.7106 -2.0056
Al -3.7901 -4.6678 -6.9623
Al -3.1251 -4.6360 -4.3232
Al 2.4694 -9.1323 -2.2991
Al -7.5580 -9.9416 -9.3739
Al -3.4778 -0.1336 -7.4507
Al -2.0188 -9.2772 -3.3203
Al -5.8269 -9.0426 -2.5888
Al -0.8943 1.5397 -7.0991
Al -2.7246 -6.4869 -0.7112
Al -12.8964 -8.9255 -9.3433
Al 0.2551 -10.9945 -3.4068
Al 0.8015 -14.2317 -1.3299
Al -6.7337 -12.5715 -8.7474
Al 5.6070 -3.9510 -2.5533
Al -2.3668 -14.3259 -5.7440
Al -6.2462 -5.5038 -7.9526
Al 3.1660 -7.4700 -4.4763
Al -3.3947 -13.8950 -2.8539
Al -6.1308 -13.7226 -3.0290
Al -8.0623 -3.4666 -7.7547
Al 4.5535 -2.8581 -4.9664
Al 3.1738 -5.3383 -6.2089
Al -6.8623 -15.4583 -8.8575
Al -9.1649 -11.1600 -5.1505
Al -11.4114 -12.5879 -4.0205
Al 0.1397 -2.7757 -8.3304
Al 0.4929 -8.2851 -3.9675
Al -1.0976 -6.3485 -2.9055
Al -8.1499 -15.3424 -1.7399
Al -9.1572 -9.0283 -6.8832
Al -5.1927 -6.5966 -5.5396
Al -2.8660 -11.8622 -7.0362
Al -8.4606 -7.3660 -9.0604
Al -0.7984 -9.9016 -5.8199
Al 6.2269 -5.3762 -0.3011
Al -6.1445 0.0765 -8.3717
Al -4.7742 -4.7559 -2.1443
Al -4.2907 -11.3009 -2.7355
Al -3.6244 -2.1724 -5.6154
Al 2.7343 -3.6411 -8.3083
Al -4.0098 -12.6211 -9.5100
Al -6.7337 -11.5427 -1.3295
Al -4.8591 -15.3286 -4.8210
Al -7.3248 -8.7383 -4.8571
Al -0.6732 -13.9430 -3.6153
Al -5.3179 -2.5553 -7.7442
Al 0.7329 -5.5814 -4.8049
Al 0.8711 -1.0400 -2.5020
Al -6.7240 -10.9169 -6.5546
Al -1.1625 -3.9806 -6.1302
Tb -7.4734 -13.8759 -6.0721
Tb 3.0991 -4.4529 -0.3193
Tb -8.5317 -6.1450 -5.9635
Tb -1.8300 -6.9815 -5.8156
Tb -0.2132 -8.8121 -0.8475
Tb -6.2404 -3.7217 -5.0619
Tb -11.8439 -10.5042 -6.4917
Tb -2.9281 0.6375 -4.5337
Tb -1.7098 -11.9066 -1.1935
Tb 1.4823 -2.6224 -5.2874
Tb -4.1612 -9.5167 -5.5438
Tb -5.0221 -16.2657 -1.7217
Mo -1.6170 -15.4070 -1.5241
Mo -6.7559 -11.2161 -3.8855
Mo -3.7740 -2.3827 -2.9418
Mo 0.7648 -5.2822 -7.4740
Mo 0.0000 0.0000 0.0000
Mo -5.3519 -7.0435 -0.8535
Mo -10.9981 -7.4840 -8.0836
Mo -0.3060 -5.3116 -0.5169
CELL_PARAMETERS angstrom
-4.0681 4.2203 -9.3184
8.7809 -6.6316 -0.3340
-10.7039 -14.0870 -1.7070
```

Output
Its space group is No. 193.

=====

4.
Entry from OQMD: a relaxed structure of TbAlMo (PBE). Values from VASP.

Structure (Quantum ESPRESSO input):
```
&SYSTEM
  ibrav = 0, nat = 3, ntyp = 3
/
ATOMIC_SPECIES
Al 26.98 Al.upf
Mo 95.94 Mo.upf
Tb 158.93 Tb.upf
ATOMIC_POSITIONS angstrom
Al 0.0000 0.0000 0.0000
Mo 1.6149 1.6149 1.6149
Tb 4.8447 4.8447 4.8447
CELL_PARAMETERS angstrom
0.0000 3.2298 3.2298
3.2298 0.0000 3.2298
3.2298 3.2298 0.0000
```

Output
Its space group is No. 216.

=====

5.
Entry from OQMD: a relaxed structure of AlTcMo (PBE). Values from VASP.

Structure (Quantum ESPRESSO input):
```
&SYSTEM
  ibrav = 0, nat = 3, ntyp = 3
/
ATOMIC_SPECIES
Tc 98.00 Tc.upf
Al 26.98 Al.upf
Mo 95.94 Mo.upf
ATOMIC_POSITIONS angstrom
Tc 0.0000 0.0000 0.0000
Al 1.4906 1.4906 1.4906
Mo 4.4719 4.4719 4.4719
CELL_PARAMETERS angstrom
0.0000 2.9813 2.9813
2.9813 0.0000 2.9813
2.9813 2.9813 0.0000
```

Output
Its space group is No. 216.

=====

6.
Entry from OQMD: a relaxed structure of AlTc2Mo (PBE). Values from VASP.

Structure (Quantum ESPRESSO input):
```
&SYSTEM
  ibrav = 0, nat = 4, ntyp = 3
/
ATOMIC_SPECIES
Tc 98.00 Tc.upf
Mo 95.94 Mo.upf
Al 26.98 Al.upf
ATOMIC_POSITIONS angstrom
Tc 0.0000 0.0000 0.0000
Tc 4.6422 4.6422 4.6422
Mo 1.5474 1.5474 1.5474
Al 3.0948 3.0948 3.0948
CELL_PARAMETERS angstrom
0.0000 3.0948 3.0948
3.0948 0.0000 3.0948
3.0948 3.0948 0.0000
```

Output
Its space group is No. 216.

=====

Number 1: total magnetic moment 0.001 μB per atom, DFT total energy -7.667 eV/atom. Number 2: total magnetic moment 0.004 μB per atom, DFT total energy -8.233 eV/atom. Number 3: total magnetic moment 0.000 μB per atom, DFT total energy -4.699 eV/atom. Number 4: total magnetic moment 0.359 μB per atom, DFT total energy -5.902 eV/atom. Number 5: total magnetic moment 0.002 μB per atom, DFT total energy -8.077 eV/atom. Number 6: total magnetic moment 0.002 μB per atom, DFT total energy -8.854 eV/atom.